Record 1
K2TlW after structural relaxation, computed with PBE.

abc: 9.9553 3.0464 9.7060
angles: 90.00 93.22 90.00
Space group Cm (No. 8)
Inequivalent atoms, fractional coordinates:
K: 0.0000 0.0000 0.0000 x2
K: 0.2294 0.0000 0.5966 x2
Tl: 0.2445 0.5000 0.2561 x2
W: 0.4827 0.0000 0.3337 x2

Values from the calculation:
E_form (eV per atom): 1.07
DOS(E_F) (states/eV/f.u.): 2.6


Record 2
Er6In3Co after structural relaxation, computed with PBE.

abc: 9.1066 5.2210 11.2643
angles: 90.00 108.23 90.00
Space group P2_1/m (No. 11)
Inequivalent atoms, fractional coordinates:
Er: 0.0442 0.2500 0.4186 x2
Er: 0.1972 0.7500 0.1656 x2
Er: 0.2852 0.2500 0.0051 x2
Er: 0.3502 0.7500 0.8323 x2
Er: 0.3730 0.2500 0.3434 x2
Er: 0.3957 0.2500 0.6527 x2
In: 0.0096 0.7500 0.8793 x2
In: 0.0928 0.2500 0.7212 x2
In: 0.2759 0.7500 0.4770 x2
Co: 0.4629 0.7500 0.0922 x2

Values from the calculation:
E_form (eV per atom): -0.30
DOS(E_F) (states/eV/f.u.): 8.4


Record 3
Ti2BiS after structural relaxation, computed with PBE.

abc: 5.5147 5.5147 13.2442
angles: 90.00 90.00 90.00
Space group I-42d (No. 122)
Inequivalent atoms, fractional coordinates:
Ti: 0.1648 0.2500 0.1250 x8
Bi: 0.0000 0.0000 0.5000 x4
S: 0.0000 0.0000 0.0000 x4

Values from the calculation:
Energy relative to the elements, uncorrected (meV/atom): -220
DOS(E_F) (states/eV/f.u.): 5.1